Record 1
# Y2MgAs

An optimized crystal structure of Y2MgAs (PBE-GGA, the Alexandria database).

abc: 6.2340 6.2340 6.2340
angles: 139.73 139.73 58.27
Atoms (fractional coordinates):
Y  0.0000  0.0000  0.0000
Y  0.7500  0.2500  0.5000
Mg  0.5000  0.5000  0.0000
As  0.2500  0.7500  0.5000

Electronic total energy, eV/atom: -5.30
Space-group type: I-4m2
Relative energy among the computed polymorphs, eV/f.u.: 0.773
Calculated formation energy, eV per atom: -0.51

***

Record 2
# YMgAs2

An optimized crystal structure of YMgAs2 (PBE-GGA, the Alexandria database).

abc: 4.0981 4.0981 6.8262
angles: 107.54 107.54 60.11
Atoms (fractional coordinates):
Y  0.0000  0.0000  0.0000
Mg  0.5000  0.5000  0.5000
As  0.2463  0.2463  0.7392
As  0.7537  0.7537  0.2608

Electronic total energy, eV/atom: -5.20
Space-group type: C2/m
Calculated formation energy, eV per atom: -0.86

***

Record 3
# Y2MgAs

An optimized crystal structure of Y2MgAs (PBE-GGA, the Alexandria database).

abc: 4.1270 4.1270 6.0906
angles: 90.00 90.00 90.00
Atoms (fractional coordinates):
Y  0.0000  0.0000  0.0000
Y  0.5000  0.5000  0.3374
Mg  0.5000  0.5000  0.8253
As  0.0000  0.0000  0.4938

Electronic total energy, eV/atom: -5.25
Space-group type: P4mm
Relative energy among the computed polymorphs, eV/f.u.: 0.975
Calculated formation energy, eV per atom: -0.46

***

Record 4
# YMgAs2

An optimized crystal structure of YMgAs2 (PBE-GGA, the Alexandria database).

abc: 4.9880 4.9880 4.9880
angles: 60.00 60.00 60.00
Atoms (fractional coordinates):
Y  0.0000  0.0000  0.0000
Mg  0.2500  0.2500  0.2500
As  0.5000  0.5000  0.5000
As  0.7500  0.7500  0.7500

Electronic total energy, eV/atom: -4.52
Space-group type: F-43m
Calculated formation energy, eV per atom: -0.18

***

Record 5
# YMg2As

An optimized crystal structure of YMg2As (PBE-GGA, the Alexandria database).

abc: 5.7380 5.7380 4.7601
angles: 114.19 114.19 40.86
Atoms (fractional coordinates):
Y  0.0000  0.0000  0.0000
Mg  0.2237  0.2237  0.7231
Mg  0.4305  0.4305  0.4316
As  0.7294  0.7294  0.2136

Electronic total energy, eV/atom: -3.96
Space-group type: Cm
Calculated formation energy, eV per atom: -0.38

***

Record 6
# YMg2As

An optimized crystal structure of YMg2As (PBE-GGA, the Alexandria database).

abc: 7.6897 7.6897 7.6897
angles: 30.85 30.85 30.85
Atoms (fractional coordinates):
Y  0.0000  0.0000  0.0000
Mg  0.2228  0.2228  0.2228
Mg  0.7772  0.7772  0.7772
As  0.5000  0.5000  0.5000

Electronic total energy, eV/atom: -3.74
Space-group type: R-3m
Calculated formation energy, eV per atom: -0.17

***

Record 7
# YMg2As2

An optimized crystal structure of YMg2As2 (PBE-GGA, the Alexandria database).

abc: 7.1641 7.1641 7.1641
angles: 147.19 147.19 47.08
Atoms (fractional coordinates):
Y  0.0000  0.0000  0.0000
Mg  0.2500  0.7500  0.5000
Mg  0.7500  0.2500  0.5000
As  0.3868  0.3868  0.0000
As  0.6132  0.6132  0.0000

Electronic total energy, eV/atom: -4.45
Space-group type: I4/mmm
Calculated formation energy, eV per atom: -0.66

***

Record 8
# YMgAs2

An optimized crystal structure of YMgAs2 (PBE-GGA, the Alexandria database).

abc: 5.9921 5.9921 5.9921
angles: 140.70 140.70 56.79
Atoms (fractional coordinates):
Y  0.0000  0.0000  0.0000
Mg  0.7500  0.2500  0.5000
As  0.2500  0.7500  0.5000
As  0.5000  0.5000  0.0000

Electronic total energy, eV/atom: -5.09
Space-group type: I-4m2
Calculated formation energy, eV per atom: -0.75